DFT (PBE) results for a geometry-optimized NpAgPbSe3 structure.

abc: 8.5251 4.2117 9.2134
angles: 90.00 103.74 90.00
Fractional positions:
Np (0.1755, 0.2500, 0.1650)
Np (0.8245, 0.7500, 0.8350)
Ag (0.4078, 0.7500, 0.4197)
Ag (0.5922, 0.2500, 0.5803)
Pb (0.3044, 0.7500, 0.7636)
Pb (0.6956, 0.2500, 0.2364)
Se (0.0596, 0.2500, 0.8426)
Se (0.2414, 0.2500, 0.4901)
Se (0.3978, 0.7500, 0.1268)
Se (0.6022, 0.2500, 0.8732)
Se (0.7586, 0.7500, 0.5099)
Se (0.9404, 0.7500, 0.1574)

Output
- DOS at the Fermi energy (states/eV/f.u.) = 12.42
- raw formation energy (eV per atom) = -0.650


DFT (PBE) results for a geometry-optimized NpAgTe3Pb structure.

abc: 9.0483 4.4061 9.9173
angles: 90.00 104.99 90.00
Fractional positions:
Np (0.1759, 0.2500, 0.1694)
Np (0.8241, 0.7500, 0.8306)
Ag (0.4156, 0.7500, 0.4178)
Ag (0.5844, 0.2500, 0.5822)
Te (0.0700, 0.2500, 0.8422)
Te (0.2444, 0.2500, 0.4922)
Te (0.4036, 0.7500, 0.1272)
Te (0.5964, 0.2500, 0.8728)
Te (0.7556, 0.7500, 0.5078)
Te (0.9300, 0.7500, 0.1578)
Pb (0.3095, 0.7500, 0.7570)
Pb (0.6905, 0.2500, 0.2430)

Output
- DOS at the Fermi energy (states/eV/f.u.) = 11.22
- raw formation energy (eV per atom) = -0.398


DFT (PBE) results for a geometry-optimized NpAgPd2 structure.

abc: 4.7627 4.7627 4.7627
angles: 60.00 60.00 60.00
Fractional positions:
Np (0.0000, 0.0000, 0.0000)
Ag (0.5000, 0.5000, 0.5000)
Pd (0.2500, 0.2500, 0.2500)
Pd (0.7500, 0.7500, 0.7500)

Output
- DOS at the Fermi energy (states/eV/f.u.) = 10.62
- energy above the lowest structure with this stoichiometry (kJ/mol of atoms) = 1.2